(1)
Below is an optimized crystal structure of Ac5Nd12Er2, with properties calculated at the PBE level.

Computed properties:
- V: 37.94 Å³ per atom
- DFT formation energy: 151 meV/atom

Lattice parameters (Å, degrees): 7.383 9.041 12.126 109.73 107.72 90.00
Atoms (fractional coordinates):
Ac 0.755 0.515 0.509
Ac 0.651 0.088 0.301
Ac 0.000 0.500 0.000
Ac 0.349 0.912 0.699
Ac 0.245 0.485 0.491
Nd 0.861 0.949 0.721
Nd 0.452 0.790 0.399
Nd 0.946 0.790 0.399
Nd 0.366 0.375 0.210
Nd 0.843 0.375 0.210
Nd 0.547 0.692 0.093
Nd 0.453 0.308 0.907
Nd 0.634 0.625 0.790
Nd 0.157 0.625 0.790
Nd 0.548 0.210 0.601
Nd 0.054 0.210 0.601
Nd 0.139 0.051 0.279
Er 0.742 0.000 0.000
Er 0.258 0.000 0.000



(2)
Below is an optimized crystal structure of AcNd4Er6, with properties calculated at the PBE level.

Computed properties:
- V: 35.12 Å³ per atom
- DFT formation energy: 335 meV/atom

Lattice parameters (Å, degrees): 9.762 9.762 9.762 58.38 139.65 139.65
Atoms (fractional coordinates):
Ac 0.000 0.000 0.000
Nd 0.000 0.630 0.015
Nd 0.385 0.370 0.370
Nd 0.000 0.015 0.630
Nd 0.615 0.985 0.985
Er 0.000 0.802 0.445
Er 0.000 0.445 0.802
Er 0.357 0.555 0.555
Er 0.500 0.500 0.000
Er 0.643 0.198 0.198
Er 0.500 0.000 0.500